# Ti2CdWO (PBE with a Hubbard U, optimized geometry)
# Calculated total energy in eV per atom: -6.131
# Crystal system: tetragonal
data_Ti2CdWO
_chemical_formula_sum 'Ti2 Cd1 W1 O1'
_cell_length_a 4.052
_cell_length_b 4.052
_cell_length_c 4.743
_cell_angle_alpha 90.00
_cell_angle_beta 90.00
_cell_angle_gamma 90.00
_symmetry_space_group_name_H-M 'P 4/m m m'
_symmetry_Int_Tables_number 123
_symmetry_space_group_name_Hall '-P 4 2'
loop_
_atom_site_label
_atom_site_fract_x
_atom_site_fract_y
_atom_site_fract_z
Ti1 0.000 0.500 0.000
Cd1 0.000 0.000 0.500
W1 0.500 0.500 0.500
O1 0.000 0.000 0.000